Entry 1:
Density functional theory data (GGA-PBE) for a relaxed structure of LiAcSnSb.

abc: 7.7888 7.7888 7.7888
angles: 90.00 90.00 90.00
Space group F-43m (No. 216)
Unique sites:
Li1 0.0000 0.0000 0.0000
Ac1 0.0000 0.0000 0.5000
Sn1 0.2500 0.2500 0.7500
Sb1 0.2500 0.2500 0.2500

Output
* crystal system: cubic
* energy relative to the elements, uncorrected: -0.464 eV per atom
* magnetization: 0.00 Bohr magnetons per cell
* E: -4.001 eV per atom

***

Entry 2:
Density functional theory data (GGA-PBE) for a relaxed structure of Li4Ac2SnSb3.

abc: 4.6973 4.6973 11.3427
angles: 90.00 90.00 90.00
Space group P-4m2 (No. 115)
Unique sites:
Li1 0.0000 0.0000 0.0000
Li2 0.0000 0.5000 0.3745
Li3 0.5000 0.5000 0.0000
Ac1 0.0000 0.5000 0.7394
Sn1 0.5000 0.5000 0.5000
Sb1 0.0000 0.0000 0.5000
Sb2 0.0000 0.5000 0.1423

Output
* crystal system: tetragonal
* energy relative to the elements, uncorrected: -0.809 eV per atom
* magnetization: 0.00 Bohr magnetons per cell
* E: -4.033 eV per atom